# SrPr2Ru | Alexandria via LeMat-Bulk | PBE | optimized geometry
# * mass density: 5.9 g/cm3
# * formation energy from the elements: -27 meV/atom
# * energy relative to the lowest polymorph listed for this composition: 9 kJ/mol of formula units
# * E: -5.156 eV per atom
data_SrPr2Ru
_space_group_name_H-M_alt 'P 4/m m m'
_space_group_IT_number 123
_space_group_name_Hall '-P 4 2'
_cell_length_a 3.591
_cell_length_b 3.591
_cell_length_c 10.324
_cell_angle_alpha 90.00
_cell_angle_beta 90.00
_cell_angle_gamma 90.00
loop_
_atom_site_label
_atom_site_fract_x
_atom_site_fract_y
_atom_site_fract_z
Sr1 0.000 0.000 0.000
Pr1 0.500 0.500 0.336
Ru1 0.000 0.000 0.500



# SrPrRu | Alexandria via LeMat-Bulk | PBE | optimized geometry
# * mass density: 6.0 g/cm3
# * formation energy from the elements: 83 meV/atom
# * energy relative to the lowest polymorph listed for this composition: 0 kJ/mol of formula units
# * E: -5.163 eV per atom
data_SrPrRu
_space_group_name_H-M_alt 'I 4 m m'
_space_group_IT_number 107
_space_group_name_Hall 'I 4 -2'
_cell_length_a 3.605
_cell_length_b 3.605
_cell_length_c 14.007
_cell_angle_alpha 90.00
_cell_angle_beta 90.00
_cell_angle_gamma 90.00
loop_
_atom_site_label
_atom_site_fract_x
_atom_site_fract_y
_atom_site_fract_z
Sr1 0.000 0.000 0.000
Pr1 0.000 0.000 0.247
Ru1 0.000 0.000 0.641



# SrPrRu | Alexandria via LeMat-Bulk | PBE | optimized geometry
# * mass density: 5.8 g/cm3
# * formation energy from the elements: 107 meV/atom
# * energy relative to the lowest polymorph listed for this composition: 7 kJ/mol of formula units
# * E: -5.139 eV per atom
data_SrPrRu
_space_group_name_H-M_alt 'P 1 21/c 1'
_space_group_IT_number 14
_cell_length_a 6.822
_cell_length_b 9.268
_cell_length_c 6.110
_cell_angle_alpha 90.00
_cell_angle_beta 101.42
_cell_angle_gamma 90.00
loop_
_space_group_symop_operation_xyz
'x,y,z'
'-x,-y,-z'
'-x,y+1/2,-z+1/2'
'x,-y+1/2,z+1/2'
loop_
_atom_site_label
_atom_site_fract_x
_atom_site_fract_y
_atom_site_fract_z
Sr1 0.181 0.155 0.082
Pr1 0.314 0.616 0.073
Ru1 0.473 0.592 0.648



# SrPr2Ru | Alexandria via LeMat-Bulk | PBE | optimized geometry
# * mass density: 5.3 g/cm3
# * formation energy from the elements: -46 meV/atom
# * energy relative to the lowest polymorph listed for this composition: 1 kJ/mol of formula units
# * E: -5.176 eV per atom
data_SrPr2Ru
_space_group_name_H-M_alt 'R -3 m'
_space_group_IT_number 166
_space_group_name_Hall '-R 3 2"'
_cell_length_a 4.1977
_cell_length_b 4.1977
_cell_length_c 29.2125
_cell_angle_alpha 90.00
_cell_angle_beta 90.00
_cell_angle_gamma 120.00
loop_
_atom_site_label
_atom_site_fract_x
_atom_site_fract_y
_atom_site_fract_z
Sr1 0.0000 0.0000 0.0000
Pr1 0.0000 0.0000 0.2175
Ru1 0.0000 0.0000 0.5000



# SrPr2Ru | Alexandria via LeMat-Bulk | PBE | optimized geometry
# * mass density: 5.3 g/cm3
# * formation energy from the elements: -50 meV/atom
# * energy relative to the lowest polymorph listed for this composition: 0 kJ/mol of formula units
# * E: -5.179 eV per atom
data_SrPr2Ru
_space_group_name_H-M_alt 'R 3 m'
_space_group_IT_number 160
_space_group_name_Hall 'R 3 -2"'
_cell_length_a 4.2044
_cell_length_b 4.2044
_cell_length_c 28.9175
_cell_angle_alpha 90.00
_cell_angle_beta 90.00
_cell_angle_gamma 120.00
loop_
_atom_site_label
_atom_site_fract_x
_atom_site_fract_y
_atom_site_fract_z
Sr1 0.0000 0.0000 0.0000
Pr1 0.0000 0.0000 0.2189
Pr2 0.0000 0.0000 0.4499
Ru1 0.0000 0.0000 0.8345



# PrTa4Ru5 | Alexandria via LeMat-Bulk | PBE | optimized geometry
# * mass density: 13.2 g/cm3
# * formation energy from the elements: -326 meV/atom
# * E: -10.183 eV per atom
data_PrTa4Ru5
_space_group_name_H-M_alt 'P 4/m m m'
_space_group_IT_number 123
_space_group_name_Hall '-P 4 2'
_cell_length_a 3.170
_cell_length_b 3.170
_cell_length_c 17.209
_cell_angle_alpha 90.00
_cell_angle_beta 90.00
_cell_angle_gamma 90.00
loop_
_atom_site_label
_atom_site_fract_x
_atom_site_fract_y
_atom_site_fract_z
Pr1 0.000 0.000 0.000
Ta1 0.000 0.000 0.215
Ta2 0.000 0.000 0.406
Ru1 0.500 0.500 0.136
Ru2 0.500 0.500 0.316
Ru3 0.500 0.500 0.500